# 1
{
  "formula": "Ac12Ga5Ge2",
  "functional": "PBE",
  "state": "optimized geometry",
  "crystal_system": "monoclinic",
  "sg": "C2/m, No. 12",
  "e_tot_ev_per_atom": -4.156,
  "total_magnetization_mub_per_fu": 0.00,
  "cell": [[-4.5653, 6.0235, 4.1693], [-5.1523, -7.7912, -3.3207], [3.8878, -2.9269, 8.4856]],
  "species": ["Ac", "Ac", "Ac", "Ac", "Ac", "Ac", "Ac", "Ac", "Ac", "Ac", "Ac", "Ac", "Ga", "Ga", "Ga", "Ga", "Ga", "Ge", "Ge"],
  "frac_coords": [[0.9225, 0.8450, 0.1665], [0.0854, 0.6408, 0.8460], [0.5554, 0.6408, 0.8460], [0.1421, 0.7391, 0.4547], [0.5970, 0.7391, 0.4547], [0.5212, 0.0424, 0.7968], [0.4788, 0.9576, 0.2032], [0.8579, 0.2609, 0.5453], [0.4030, 0.2609, 0.5453], [0.9146, 0.3592, 0.1540], [0.4446, 0.3592, 0.1540], [0.0775, 0.1550, 0.8335], [0.2577, 0.5154, 0.5761], [0.2960, 0.5919, 0.1120], [0.0000, 0.0000, 0.5000], [0.7040, 0.4081, 0.8880], [0.7423, 0.4846, 0.4239], [0.7671, 0.0000, 0.0000], [0.2329, 0.0000, 0.0000]]
}

=====

# 2
{
  "formula": "Ac4Ga2Ge5",
  "functional": "PBE",
  "state": "optimized geometry",
  "crystal_system": "monoclinic",
  "sg": "P2/m, No. 10",
  "e_tot_ev_per_atom": -4.803,
  "total_magnetization_mub_per_fu": 0.00,
  "cell": [[-4.4278, 0.6536, 1.3647], [1.5408, -3.2125, 6.5377], [2.1706, 7.4904, 3.4552]],
  "species": ["Ac", "Ac", "Ac", "Ac", "Ga", "Ga", "Ge", "Ge", "Ge", "Ge", "Ge"],
  "frac_coords": [[0.5000, 0.7432, 0.6299], [0.5000, 0.2350, 0.8689], [0.5000, 0.2568, 0.3701], [0.5000, 0.7650, 0.1311], [0.0000, 0.0872, 0.6239], [0.0000, 0.9128, 0.3761], [0.0000, 0.5684, 0.3554], [0.0000, 0.1074, 0.1195], [0.0000, 0.5000, 0.0000], [0.0000, 0.8926, 0.8805], [0.0000, 0.4316, 0.6446]]
}

=====

# 3
{
  "formula": "Ac6GaGe5",
  "functional": "PBE",
  "state": "optimized geometry",
  "crystal_system": "monoclinic",
  "sg": "C2/m, No. 12",
  "e_tot_ev_per_atom": -4.726,
  "total_magnetization_mub_per_fu": 0.00,
  "cell": [[7.8755, 0.2469, 0.0000], [2.4480, 7.7334, 0.0000], [1.2240, 3.8667, 6.9074]],
  "species": ["Ac", "Ac", "Ac", "Ac", "Ac", "Ac", "Ga", "Ge", "Ge", "Ge", "Ge", "Ge"],
  "frac_coords": [[0.7389, 0.0889, 0.3479], [0.2611, 0.5632, 0.3479], [0.2538, 0.2650, 0.0000], [0.7462, 0.7350, 0.0000], [0.7389, 0.4368, 0.6521], [0.2611, 0.9111, 0.6521], [0.0000, 0.0000, 0.0000], [0.5000, 0.1564, 0.6873], [0.0000, 0.3285, 0.3431], [0.5000, 0.5000, 0.0000], [0.0000, 0.6715, 0.6569], [0.5000, 0.8436, 0.3127]]
}

=====

# 4
{
  "formula": "Ac6GaGe2",
  "functional": "PBE",
  "state": "optimized geometry",
  "crystal_system": "orthorhombic",
  "sg": "Immm, No. 71",
  "e_tot_ev_per_atom": -4.535,
  "total_magnetization_mub_per_fu": 0.00,
  "cell": [[-1.2706, -9.1419, 1.7254], [7.7553, 3.2472, 4.1807], [-7.3399, 4.7832, 3.3783]],
  "species": ["Ac", "Ac", "Ac", "Ac", "Ac", "Ac", "Ac", "Ac", "Ac", "Ac", "Ac", "Ac", "Ga", "Ga", "Ge", "Ge", "Ge", "Ge"],
  "frac_coords": [[0.5603, 0.7340, 0.8263], [0.4397, 0.2660, 0.1737], [0.0924, 0.2660, 0.8263], [0.9076, 0.7340, 0.1737], [0.8047, 0.7488, 0.5535], [0.1953, 0.2512, 0.4465], [0.1953, 0.7488, 0.9442], [0.8047, 0.2512, 0.0558], [0.7045, 0.3749, 0.6704], [0.2955, 0.6251, 0.3296], [0.2955, 0.9660, 0.6704], [0.7045, 0.0340, 0.3296], [0.0000, 0.5000, 0.5000], [0.0000, 0.0000, 0.0000], [0.5000, 0.3846, 0.8846], [0.5000, 0.6154, 0.1154], [0.6436, 0.0000, 0.6436], [0.3564, 0.0000, 0.3564]]
}